LiSc2HPd PBE optimized geometry; D(E_F) = 1.0041 states/eV per atom; energy above the most stable polymorph in this dataset = 150 meV per atom; crystal system = tetragonal; SG = P4/mmm
1.0
4.607 0.000 0.000
0.000 4.607 0.000
0.000 0.000 3.673
Li Sc H Pd
1 2 1 1
direct
0.000 0.000 0.000
0.000 0.500 0.500
0.500 0.000 0.500
0.500 0.500 0.500
0.500 0.500 0.000

LiHPd2Se PBE optimized geometry; D(E_F) = 0.4461 states/eV per atom; raw total energy = -21.01 eV per cell; crystal system = tetragonal; SG = P4/mmm
1.0
3.988 0.000 0.000
0.000 3.988 0.000
0.000 0.000 4.020
Li H Pd Se
1 1 2 1
direct
0.000 0.000 0.000
0.000 0.000 0.500
0.000 0.500 0.500
0.500 0.000 0.500
0.500 0.500 0.000

Li2HPdSe PBE optimized geometry; D(E_F) = 0.2636 states/eV per atom; raw total energy = -19.21 eV per cell; crystal system = tetragonal; SG = P4/mmm
1.0
4.045 0.000 0.000
0.000 4.045 0.000
0.000 0.000 3.758
Li H Pd Se
2 1 1 1
direct
0.000 0.500 0.000
0.500 0.000 0.000
0.000 0.000 0.000
0.000 0.000 0.500
0.500 0.500 0.500

Li2SiHPd PBE optimized geometry; D(E_F) = 0.2345 states/eV per atom; energy above the most stable polymorph in this dataset = 0 meV per atom; crystal system = tetragonal; SG = P4/mmm
1.0
3.733 0.000 0.000
0.000 3.733 0.000
0.000 0.000 3.958
Li Si H Pd
2 1 1 1
direct
0.000 0.500 0.000
0.500 0.000 0.000
0.000 0.000 0.500
0.500 0.500 0.000
0.500 0.500 0.500

LiSiHPd2 PBE optimized geometry; D(E_F) = 0.4917 states/eV per atom; raw total energy = -23.16 eV per cell; crystal system = tetragonal; SG = P4/mmm
1.0
3.991 0.000 0.000
0.000 3.991 0.000
0.000 0.000 3.547
Li Si H Pd
1 1 1 2
direct
0.000 0.000 0.000
0.500 0.500 0.000
0.000 0.000 0.500
0.000 0.500 0.500
0.500 0.000 0.500

Li2SiHPd PBE optimized geometry; D(E_F) = 0.3833 states/eV per atom; energy above the most stable polymorph in this dataset = 61 meV per atom; crystal system = tetragonal; SG = P4/mmm
1.0
3.733 0.000 0.000
0.000 3.733 0.000
0.000 0.000 3.936
Li Si H Pd
2 1 1 1
direct
0.000 0.500 0.000
0.500 0.000 0.000
0.000 0.000 0.500
0.000 0.000 0.000
0.500 0.500 0.500

Li2Sn2HPd4 PBE optimized geometry; D(E_F) = 0.4401 states/eV per atom; raw total energy = -40.73 eV per cell; crystal system = tetragonal; SG = I4/mmm
1.0
-2.984 2.984 3.660
2.984 -2.984 3.660
2.984 2.984 -3.660
Li Sn H Pd
2 2 1 4
direct
0.231 0.231 0.000
0.769 0.769 0.000
0.250 0.750 0.500
0.750 0.250 0.500
0.500 0.500 0.000
0.256 0.256 0.511
0.256 0.744 0.000
0.744 0.256 0.000
0.744 0.744 0.489

Li2SnHPd PBE optimized geometry; D(E_F) = 0.4314 states/eV per atom; energy above the most stable polymorph in this dataset = 122 meV per atom; crystal system = tetragonal; SG = P4/mmm
1.0
3.902 0.000 0.000
0.000 3.902 0.000
0.000 0.000 4.549
Li Sn H Pd
2 1 1 1
direct
0.000 0.500 0.000
0.500 0.000 0.000
0.000 0.000 0.500
0.000 0.000 0.000
0.500 0.500 0.500

LiSnHPd2 PBE optimized geometry; D(E_F) = 0.4502 states/eV per atom; energy above the most stable polymorph in this dataset = 73 meV per atom; crystal system = orthorhombic; SG = Pmma
1.0
4.893 0.000 0.000
0.000 5.690 0.000
0.000 0.000 4.903
Li Sn H Pd
2 2 2 4
direct
0.250 0.000 0.172
0.750 0.000 0.828
0.250 0.500 0.189
0.750 0.500 0.811
0.000 0.000 0.500
0.500 0.000 0.500
0.250 0.246 0.674
0.250 0.754 0.674
0.750 0.246 0.326
0.750 0.754 0.326

LiSnHPd2 PBE optimized geometry; D(E_F) = 0.3830 states/eV per atom; energy above the most stable polymorph in this dataset = 0 meV per atom; crystal system = tetragonal; SG = P4/mmm
1.0
4.104 0.000 0.000
0.000 4.104 0.000
0.000 0.000 3.913
Li Sn H Pd
1 1 1 2
direct
0.000 0.000 0.000
0.500 0.500 0.000
0.000 0.000 0.500
0.000 0.500 0.500
0.500 0.000 0.500

Li2SnHPd PBE optimized geometry; D(E_F) = 0.2167 states/eV per atom; energy above the most stable polymorph in this dataset = 0 meV per atom; crystal system = tetragonal; SG = P4/mmm
1.0
4.256 0.000 0.000
0.000 4.256 0.000
0.000 0.000 3.658
Li Sn H Pd
2 1 1 1
direct
0.000 0.500 0.000
0.500 0.000 0.000
0.000 0.000 0.500
0.500 0.500 0.000
0.500 0.500 0.500

LiSnH2Pd5 PBE optimized geometry; D(E_F) = 0.3359 states/eV per atom; raw total energy = -40.90 eV per cell; crystal system = tetragonal; SG = P4/mmm
1.0
4.049 0.000 0.000
0.000 4.049 0.000
0.000 0.000 7.304
Li Sn H Pd
1 1 2 5
direct
0.000 0.000 0.000
0.500 0.500 0.500
0.000 0.000 0.244
0.000 0.000 0.756
0.000 0.000 0.500
0.000 0.500 0.221
0.000 0.500 0.779
0.500 0.000 0.221
0.500 0.000 0.779

SrLi2HPd PBE optimized geometry; D(E_F) = 0.3164 states/eV per atom; raw total energy = -15.64 eV per cell; crystal system = tetragonal; SG = P4/mmm
1.0
4.212 0.000 0.000
0.000 4.212 0.000
0.000 0.000 5.022
Sr Li H Pd
1 2 1 1
direct
0.000 0.000 0.000
0.000 0.500 0.500
0.500 0.000 0.500
0.000 0.000 0.500
0.500 0.500 0.000

SrLiH4Pd2 PBE optimized geometry; D(E_F) = 0.3115 states/eV per atom; raw total energy = -30.89 eV per cell; crystal system = tetragonal; SG = P4/mmm
1.0
3.662 0.000 0.000
0.000 3.662 0.000
0.000 0.000 6.865
Sr Li H Pd
1 1 4 2
direct
0.000 0.000 0.000
0.000 0.000 0.500
0.000 0.500 0.285
0.000 0.500 0.715
0.500 0.000 0.285
0.500 0.000 0.715
0.500 0.500 0.286
0.500 0.500 0.714

Sr2LiHPd6 PBE optimized geometry; D(E_F) = 0.2903 states/eV per atom; raw total energy = -43.67 eV per cell; crystal system = cubic; SG = Fm-3m
1.0
0.000 4.421 4.421
4.421 0.000 4.421
4.421 4.421 0.000
Sr Li H Pd
2 1 1 6
direct
0.250 0.250 0.250
0.750 0.750 0.750
0.000 0.000 0.000
0.500 0.500 0.500
0.270 0.270 0.730
0.270 0.730 0.270
0.270 0.730 0.730
0.730 0.270 0.270
0.730 0.270 0.730
0.730 0.730 0.270

Sr2LiH6Pd PBE optimized geometry; D(E_F) = 0.1569 states/eV per atom; raw total energy = -34.77 eV per cell; crystal system = trigonal; SG = P-3m1
1.0
5.368 0.000 0.000
-2.684 4.648 0.000
0.000 0.000 4.730
Sr Li H Pd
2 1 6 1
direct
0.333 0.667 0.243
0.667 0.333 0.757
0.000 0.000 0.500
0.163 0.327 0.762
0.163 0.837 0.762
0.327 0.163 0.238
0.673 0.837 0.762
0.837 0.163 0.238
0.837 0.673 0.238
0.000 0.000 0.000

LiTb2HPd6 PBE optimized geometry; D(E_F) = 0.1039 states/eV per atom; raw total energy = -52.17 eV per cell; crystal system = triclinic; SG = P-1
1.0
5.919 0.000 0.000
2.951 5.275 0.000
2.953 1.566 5.053
Li Tb H Pd
1 2 1 6
direct
0.000 0.000 0.000
0.257 0.243 0.242
0.743 0.757 0.758
0.500 0.500 0.500
0.257 0.728 0.272
0.258 0.272 0.727
0.266 0.735 0.734
0.734 0.265 0.266
0.742 0.728 0.273
0.743 0.272 0.728

Li2TeHPd PBE optimized geometry; D(E_F) = 0.2383 states/eV per atom; raw total energy = -18.55 eV per cell; crystal system = tetragonal; SG = P4/mmm
1.0
4.193 0.000 0.000
0.000 4.193 0.000
0.000 0.000 3.928
Li Te H Pd
2 1 1 1
direct
0.000 0.500 0.000
0.500 0.000 0.000
0.000 0.000 0.500
0.500 0.500 0.000
0.500 0.500 0.500

LiTiHPd2 PBE optimized geometry; D(E_F) = 0.8054 states/eV per atom; raw total energy = -24.88 eV per cell; crystal system = tetragonal; SG = P4/mmm
1.0
4.060 0.000 0.000
0.000 4.060 0.000
0.000 0.000 3.809
Li Ti H Pd
1 1 1 2
direct
0.000 0.000 0.000
0.500 0.500 0.000
0.500 0.500 0.500
0.000 0.500 0.500
0.500 0.000 0.500

LiTlHPd2 PBE optimized geometry; D(E_F) = 0.2414 states/eV per atom; energy above the most stable polymorph in this dataset = 0 meV per atom; crystal system = tetragonal; SG = P4/mmm
1.0
4.055 0.000 0.000
0.000 4.055 0.000
0.000 0.000 4.144
Li Tl H Pd
1 1 1 2
direct
0.000 0.000 0.000
0.500 0.500 0.000
0.000 0.000 0.500
0.000 0.500 0.500
0.500 0.000 0.500

Li2Tl2HPd4 PBE optimized geometry; D(E_F) = 0.0742 states/eV per atom; raw total energy = -36.13 eV per cell; crystal system = tetragonal; SG = I4/mmm
1.0
-2.902 2.902 3.993
2.902 -2.902 3.993
2.902 2.902 -3.993
Li Tl H Pd
2 2 1 4
direct
0.236 0.236 0.000
0.764 0.764 0.000
0.250 0.750 0.500
0.750 0.250 0.500
0.500 0.500 0.000
0.253 0.253 0.506
0.253 0.747 0.000
0.747 0.253 0.000
0.747 0.747 0.494

LiTl3H2Pd9 PBE optimized geometry; D(E_F) = 0.1683 states/eV per atom; raw total energy = -65.11 eV per cell; crystal system = trigonal; SG = P-3m1
1.0
5.879 0.000 0.000
-2.939 5.091 0.000
0.000 0.000 7.482
Li Tl H Pd
1 3 2 9
direct
0.000 0.000 0.000
0.000 0.000 0.500
0.333 0.667 0.150
0.667 0.333 0.850
0.333 0.667 0.626
0.667 0.333 0.374
0.000 0.500 0.500
0.174 0.347 0.810
0.174 0.826 0.810
0.347 0.174 0.190
0.500 0.000 0.500
0.500 0.500 0.500
0.653 0.826 0.810
0.826 0.174 0.190
0.826 0.653 0.190

LiTlHPd2 PBE optimized geometry; D(E_F) = 0.5186 states/eV per atom; energy above the most stable polymorph in this dataset = 238 meV per atom; crystal system = tetragonal; SG = P4/mmm
1.0
3.972 0.000 0.000
0.000 3.972 0.000
0.000 0.000 4.645
Li Tl H Pd
1 1 1 2
direct
0.000 0.000 0.000
0.500 0.500 0.000
0.500 0.500 0.500
0.000 0.500 0.500
0.500 0.000 0.500

LiV2HPd PBE optimized geometry; D(E_F) = 0.9553 states/eV per atom; raw total energy = -28.93 eV per cell; crystal system = tetragonal; SG = P4/mmm
1.0
3.699 0.000 0.000
0.000 3.699 0.000
0.000 0.000 4.111
Li V H Pd
1 2 1 1
direct
0.000 0.000 0.000
0.000 0.500 0.500
0.500 0.000 0.500
0.000 0.000 0.500
0.500 0.500 0.000

LiHPdW2 PBE optimized geometry; D(E_F) = 0.6524 states/eV per atom; raw total energy = -34.83 eV per cell; crystal system = tetragonal; SG = P4/mmm
1.0
3.791 0.000 0.000
0.000 3.791 0.000
0.000 0.000 4.425
Li H Pd W
1 1 1 2
direct
0.000 0.000 0.000
0.500 0.500 0.500
0.500 0.500 0.000
0.000 0.500 0.500
0.500 0.000 0.500

LiYHPd2 PBE optimized geometry; D(E_F) = 0.3996 states/eV per atom; energy above the most stable polymorph in this dataset = 15 meV per atom; crystal system = tetragonal; SG = P4/mmm
1.0
4.167 0.000 0.000
0.000 4.167 0.000
0.000 0.000 4.291
Li Y H Pd
1 1 1 2
direct
0.000 0.000 0.000
0.500 0.500 0.000
0.500 0.500 0.500
0.000 0.500 0.500
0.500 0.000 0.500